Record 1
Hf2TaMo, relaxed, DFT PBE; space-group type = F-43m (216); formation energy from the elements = 0.0890 eV/atom
1.0
-0.4260 -2.0716 4.2551
-3.5081 -3.1063 0.7897
0.9866 -4.6210 0.5022
Mo Ta Hf
1 1 2
direct
0.2500 0.2500 0.2500
0.5000 0.5000 0.5000
0.7500 0.7500 0.7500
0.0000 0.0000 0.0000

---

Record 2
Pr3Ge7, relaxed, DFT PBE; VASP energy = -5.179 eV per atom; space-group type = Cmmm (65)
1.0
-12.1528 0.6983 -2.1748
11.5331 -4.4492 0.3153
-0.7972 -1.7915 3.8793
Ge Pr
7 3
direct
0.5000 0.5000 0.5000
0.9056 0.0944 0.5000
0.7131 0.2869 0.5000
0.5938 0.4062 0.0000
0.2869 0.7131 0.5000
0.4062 0.5938 0.0000
0.0944 0.9056 0.5000
0.8160 0.1840 0.0000
0.0000 0.0000 0.0000
0.1840 0.8160 0.0000

---

Record 3
Zr4Zn3W2C3, relaxed, DFT PBE; VASP energy = -8.059 eV per atom; space-group type = C2/c (15)
1.0
5.6011 0.0000 0.0000
-2.7959 4.8534 0.0000
-0.0341 -3.2176 13.6758
Zn W C Zr
6 4 6 8
direct
0.8462 0.0962 0.2500
0.6832 0.1661 0.7476
0.5815 0.5644 0.2476
0.1538 0.9038 0.7500
0.4185 0.4356 0.7524
0.3168 0.8339 0.2524
0.3492 0.0497 0.5739
0.6508 0.9503 0.4261
0.4757 0.2753 0.9261
0.5243 0.7247 0.0739
0.6629 0.3253 0.4999
0.5000 0.0000 0.0000
0.3371 0.6747 0.5001
0.0000 0.0000 0.5000
0.8253 0.6629 0.0000
0.1747 0.3371 0.0000
0.7002 0.7239 0.5995
0.8756 0.3994 0.0995
0.0424 0.4079 0.5995
0.1915 0.0571 0.0995
0.1244 0.6006 0.9005
0.8085 0.9429 0.9005
0.2998 0.2761 0.4005
0.9576 0.5921 0.4005

---

Record 4
Rb2Mo15Se19, relaxed, DFT PBE; VASP energy = -7.020 eV per atom; space-group type = R-3c (167)
1.0
16.8255 -11.1715 2.9003
19.9711 -1.8786 3.7331
15.6917 -6.3333 11.4005
Se Mo Rb
38 30 4
direct
0.3030 0.6927 0.0537
0.9463 0.6970 0.3073
0.3064 0.5796 0.9711
0.1763 0.1763 0.1763
0.1927 0.8030 0.5537
0.0537 0.3030 0.6927
0.6936 0.4204 0.0289
0.1936 0.5289 0.9204
0.4463 0.8073 0.1970
0.8064 0.4711 0.0796
0.7500 0.0554 0.4446
0.2500 0.9446 0.5554
0.8237 0.8237 0.8237
0.5796 0.9711 0.3064
0.4446 0.7500 0.0554
0.4711 0.0796 0.8064
0.5537 0.1927 0.8030
0.5554 0.2500 0.9446
0.8073 0.1970 0.4463
0.5539 0.5539 0.5539
0.0554 0.4446 0.7500
0.4204 0.0289 0.6936
0.9204 0.1936 0.5289
0.9711 0.3064 0.5796
0.9446 0.5554 0.2500
0.0539 0.0539 0.0539
0.3237 0.3237 0.3237
0.1970 0.4463 0.8073
0.0289 0.6936 0.4204
0.9461 0.9461 0.9461
0.6763 0.6763 0.6763
0.6970 0.3073 0.9463
0.8030 0.5537 0.1927
0.5289 0.9204 0.1936
0.3073 0.9463 0.6970
0.6927 0.0537 0.3030
0.0796 0.8064 0.4711
0.4461 0.4461 0.4461
0.7208 0.8621 0.5497
0.2208 0.0497 0.3621
0.9503 0.6379 0.7792
0.6862 0.3732 0.4989
0.1862 0.9989 0.8732
0.7792 0.9503 0.6379
0.1268 0.8138 0.0011
0.0497 0.3621 0.2208
0.0011 0.1268 0.8138
0.5920 0.9080 0.7500
0.5011 0.3138 0.6268
0.1379 0.4503 0.2792
0.4989 0.6862 0.3732
0.3138 0.6268 0.5011
0.4503 0.2792 0.1379
0.2792 0.1379 0.4503
0.8138 0.0011 0.1268
0.5497 0.7208 0.8621
0.8732 0.1862 0.9989
0.6379 0.7792 0.9503
0.7500 0.5920 0.9080
0.8621 0.5497 0.7208
0.9080 0.7500 0.5920
0.3732 0.4989 0.6862
0.0920 0.2500 0.4080
0.2500 0.4080 0.0920
0.3621 0.2208 0.0497
0.6268 0.5011 0.3138
0.4080 0.0920 0.2500
0.9989 0.8732 0.1862
0.6134 0.6134 0.6134
0.1134 0.1134 0.1134
0.3866 0.3866 0.3866
0.8866 0.8866 0.8866

---

Record 5
GaCuWAu, relaxed, DFT PBE; offset from the most stable computed form = 0.0 meV/atom; space-group type = F-43m (216)
1.0
1.7152 3.4594 2.2266
-1.7461 1.2165 3.9164
2.2826 -0.6846 3.7668
Ga W Cu Au
1 1 1 1
direct
0.0000 0.0000 0.0000
0.2500 0.2500 0.2500
0.7500 0.7500 0.7500
0.5000 0.5000 0.5000

---

Record 6
TbHg3S4Cl, relaxed, DFT PBE; VASP energy = -3.313 eV per atom; space-group type = P6_3mc (186)
1.0
-0.9452 -1.0864 -7.8040
-3.8527 -4.6500 5.1488
-6.2252 5.1924 0.0312
Hg Cl Tb S
6 2 2 8
direct
0.9860 0.4930 0.7825
0.4930 0.9860 0.2825
0.4930 0.5070 0.2825
0.5070 0.0140 0.7825
0.0140 0.5070 0.2825
0.5070 0.4930 0.7825
0.3333 0.6667 0.5537
0.6667 0.3333 0.0537
0.0000 0.0000 0.1057
0.0000 0.0000 0.6057
0.2847 0.1424 0.3506
0.7153 0.8576 0.8506
0.1424 0.8576 0.8506
0.1424 0.2847 0.8506
0.8576 0.7153 0.3506
0.3333 0.6667 0.1287
0.8576 0.1424 0.3506
0.6667 0.3333 0.6287

---

Record 7
HoErGe2, relaxed, DFT PBE; offset from the most stable computed form = 0.0 meV/atom; space-group type = Amm2 (38)
1.0
4.2462 0.0000 0.0000
0.0000 3.9432 0.0000
-2.1218 0.0000 5.3290
Ho Ge Er
1 2 1
direct
0.2599 0.5000 0.9804
0.5349 0.5000 0.5315
0.7085 0.0000 0.8774
0.9837 0.0000 0.4288

---

Record 8
NdY2Ge4Au4, relaxed, DFT PBE; VASP energy = -5.186 eV per atom; space-group type = Immm (71)
1.0
-2.1804 3.5705 7.3307
2.1804 -3.5705 7.3307
2.1804 3.5705 -7.3307
Ge Nd Au Y
4 1 4 2
direct
0.7812 0.7812 0.0000
0.2188 0.2188 0.0000
0.3194 0.5000 0.8194
0.6806 0.5000 0.1806
0.0000 0.0000 0.0000
0.9665 0.6666 0.2999
0.0335 0.3334 0.7001
0.6334 0.3334 0.2999
0.3666 0.6666 0.7001
0.6268 0.1268 0.5000
0.3732 0.8732 0.5000

---

Record 9
PaSiGe, relaxed, DFT PBE; offset from the most stable computed form = 0.0 meV/atom; space-group type = F-43m (216)
1.0
0.0000 3.2079 3.2079
3.2079 0.0000 3.2079
3.2079 3.2079 0.0000
Ge Si Pa
1 1 1
direct
0.2500 0.2500 0.2500
0.0000 0.0000 0.0000
0.7500 0.7500 0.7500

---

Record 10
Hf3CSN, relaxed, DFT PBE; VASP energy = -9.984 eV per atom; space-group type = P-3m1 (164)
1.0
3.2992 0.0000 0.0000
-1.6496 2.8572 0.0000
0.0000 0.0000 17.4281
Hf C S N
6 2 2 2
direct
0.6667 0.3333 0.3537
0.3333 0.6667 0.6463
0.6667 0.3333 0.1454
0.0000 0.0000 0.0000
0.3333 0.6667 0.8546
0.0000 0.0000 0.5000
0.3333 0.6667 0.0787
0.6667 0.3333 0.9213
0.0000 0.0000 0.2521
0.0000 0.0000 0.7479
0.6667 0.3333 0.5718
0.3333 0.6667 0.4282

---

Record 11
SrCdSn2, relaxed, DFT PBE; VASP energy = -2.899 eV per atom; space-group type = F-43m (216)
1.0
-3.4459 -4.0484 1.4461
-1.7821 -0.3747 5.1998
-5.2523 1.1508 1.2017
Sn Cd Sr
2 1 1
direct
0.5000 0.5000 0.5000
0.2500 0.2500 0.2500
0.7500 0.7500 0.7500
0.0000 0.0000 0.0000

---

Record 12
ZrFe4P2, relaxed, DFT PBE; VASP energy = -8.220 eV per atom; space-group type = P4_2/mnm (136)
1.0
-6.4964 -0.0260 -2.2126
-1.5236 -4.9241 4.5312
-0.8477 2.5255 2.4594
Fe P Zr
8 4 2
direct
0.8417 0.5859 0.0000
0.4141 0.1583 0.0000
0.5859 0.8417 0.0000
0.0859 0.6583 0.5000
0.1583 0.4141 0.0000
0.9141 0.3417 0.5000
0.6583 0.0859 0.5000
0.3417 0.9141 0.5000
0.7174 0.2826 0.0000
0.2826 0.7174 0.0000
0.7826 0.7826 0.5000
0.2174 0.2174 0.5000
0.0000 0.0000 0.0000
0.5000 0.5000 0.5000

---

Record 13
NdYPt2, relaxed, DFT PBE; offset from the most stable computed form = 3.8 meV/atom; space-group type = P2_1/m (11); formation energy from the elements = -1.1989 eV/atom
1.0
5.6544 0.0000 0.0000
0.0000 4.5691 0.0000
-0.1235 0.0000 7.2030
Pt Y Nd
4 2 2
direct
0.3411 0.2500 0.5383
0.6589 0.7500 0.4617
0.8513 0.7500 0.9514
0.1487 0.2500 0.0486
0.8610 0.2500 0.6806
0.1390 0.7500 0.3194
0.3590 0.7500 0.8155
0.6410 0.2500 0.1845

---

Record 14
ZrTlAgTe2Se, relaxed, DFT PBE; offset from the most stable computed form = 37.0 meV/atom; space-group type = Cmcm (63)
1.0
2.0616 -7.6369 0.0000
2.0616 7.6369 0.0000
0.0000 0.0000 10.6442
Tl Zr Se Te Ag
2 2 2 4 2
direct
0.2535 0.7465 0.2500
0.7465 0.2535 0.7500
0.0000 0.0000 0.5000
0.0000 0.0000 0.0000
0.9320 0.0680 0.2500
0.0680 0.9320 0.7500
0.3628 0.6372 0.5354
0.6372 0.3628 0.4646
0.6372 0.3628 0.0354
0.3628 0.6372 0.9646
0.4612 0.5388 0.7500
0.5388 0.4612 0.2500

---

Record 15
Nb2CuSi2P, relaxed, DFT PBE; VASP energy = -6.767 eV per atom; space-group type = P4mm (99)
1.0
3.9687 0.0000 0.0000
0.0000 3.9687 0.0000
0.0000 0.0000 6.0975
Nb Si P Cu
2 2 1 1
direct
0.5000 0.0000 0.9986
0.0000 0.5000 0.9986
0.0000 0.0000 0.6828
0.5000 0.5000 0.3069
0.5000 0.5000 0.6988
0.0000 0.0000 0.3143

---

Record 16
LiReO3, relaxed, DFT PBE; VASP energy = -7.272 eV per atom; space-group type = Pnma (62)
1.0
4.7895 0.0000 0.0000
0.0000 5.0190 0.0000
0.0000 0.0000 7.8167
Li Re O
4 4 12
direct
0.5000 0.0000 0.0000
0.0000 0.5000 0.0000
0.0000 0.5000 0.5000
0.5000 0.0000 0.5000
0.5504 0.5951 0.2500
0.4496 0.4049 0.7500
0.9496 0.0951 0.2500
0.0504 0.9049 0.7500
0.6925 0.3029 0.0988
0.8075 0.8029 0.4012
0.1921 0.3995 0.2500
0.6925 0.3029 0.4012
0.3075 0.6971 0.5988
0.1925 0.1971 0.9012
0.8079 0.6005 0.7500
0.1925 0.1971 0.5988
0.6921 0.1005 0.7500
0.8075 0.8029 0.0988
0.3075 0.6971 0.9012
0.3079 0.8995 0.2500

---

Record 17
YAgSnO3, relaxed, DFT PBE; VASP energy = -6.587 eV per atom; space-group type = Cmcm (63)
1.0
-0.6226 -3.4354 -0.1867
5.8758 -2.9702 2.3223
-3.0041 0.1228 7.7580
O Sn Y Ag
6 2 2 2
direct
0.3925 0.2151 0.5029
0.0655 0.8690 0.7500
0.9345 0.1310 0.2500
0.6075 0.7849 0.0029
0.3925 0.2151 0.9971
0.6075 0.7849 0.4971
0.3364 0.3272 0.2500
0.6636 0.6728 0.7500
0.0000 0.0000 0.0000
0.0000 0.0000 0.5000
0.3284 0.3433 0.7500
0.6716 0.6567 0.2500

---

Record 18
PrLu2Sn7, relaxed, DFT PBE; VASP energy = -4.665 eV per atom; space-group type = Cmmm (65)
1.0
-2.8112 1.8816 12.3194
-1.3351 -0.0216 -12.7054
-1.8878 -4.1657 0.2055
Lu Pr Sn
2 1 7
direct
0.8106 0.1894 0.0000
0.1894 0.8106 0.0000
0.0000 0.0000 0.0000
0.2917 0.7083 0.5000
0.3998 0.6002 0.0000
0.5000 0.5000 0.5000
0.7083 0.2917 0.5000
0.6002 0.3998 0.0000
0.1010 0.8990 0.5000
0.8990 0.1010 0.5000

---

Record 19
TaPdO3, relaxed, DFT PBE; VASP energy = -8.101 eV per atom; space-group type = Pnma (62)
1.0
5.4157 0.0000 0.0000
0.0000 5.5773 0.0000
0.0000 0.0000 7.7554
O Ta Pd
12 4 4
direct
0.6831 0.3133 0.4769
0.0543 0.4820 0.2500
0.3169 0.6867 0.9769
0.1831 0.1867 0.9769
0.8169 0.8133 0.4769
0.1831 0.1867 0.5231
0.6831 0.3133 0.0231
0.9457 0.5180 0.7500
0.8169 0.8133 0.0231
0.4457 0.9820 0.2500
0.3169 0.6867 0.5231
0.5543 0.0180 0.7500
0.0000 0.5000 0.5000
0.5000 0.0000 0.0000
0.0000 0.5000 0.0000
0.5000 0.0000 0.5000
0.5102 0.5006 0.2500
0.4898 0.4994 0.7500
0.9898 0.0006 0.2500
0.0102 0.9994 0.7500